Arrangement one

A relaxed structure of TaSeIN2, computed with GGA-PBE.

Results
As for the density of states at the Fermi level: 0.93 states/eV per atom. Its space group is P4/mmm (123). As for the volume: 17.01 A^3/atom. The value obtained for the mass density is 8.10 g cm⁻³.

Unit cell a=4.0104 b=4.0104 c=5.2876 alpha=90.00 beta=90.00 gamma=90.00
Sites, in units of the cell vectors:
Ta (0.0000, 0.0000, 0.0000)
Se (0.5000, 0.5000, 0.5000)
I (0.5000, 0.5000, 0.0000)
N (0.0000, 0.5000, 0.5000)
N (0.5000, 0.0000, 0.5000)


Arrangement two

A relaxed structure of TaSeIN2, computed with GGA-PBE.

Results
As for the density of states at the Fermi level: 0.46 states/eV per atom. Its space group is P4/mmm (123). As for the volume: 20.09 A^3/atom. The value obtained for the mass density is 6.86 g cm⁻³.

Unit cell a=4.0468 b=4.0468 c=6.1341 alpha=90.00 beta=90.00 gamma=90.00
Sites, in units of the cell vectors:
Ta (0.0000, 0.0000, 0.0000)
Se (0.5000, 0.5000, 0.5000)
I (0.0000, 0.0000, 0.5000)
N (0.0000, 0.5000, 0.0000)
N (0.5000, 0.0000, 0.0000)


Stability verdict: arrangement two, ahead by 1668 meV per atom


Arrangement one

A relaxed structure of TaSe2IN, computed with GGA-PBE.

Results
As for the density of states at the Fermi level: 0.72 states/eV per atom. Its space group is P4/mmm (123). As for the volume: 22.65 A^3/atom. The value obtained for the mass density is 7.03 g cm⁻³.

Unit cell a=5.4303 b=5.4303 c=3.8412 alpha=90.00 beta=90.00 gamma=90.00
Sites, in units of the cell vectors:
Ta (0.0000, 0.0000, 0.0000)
Se (0.0000, 0.5000, 0.5000)
Se (0.5000, 0.0000, 0.5000)
I (0.5000, 0.5000, 0.5000)
N (0.5000, 0.5000, 0.0000)


Arrangement two

A relaxed structure of TaSe2IN, computed with GGA-PBE.

Results
As for the density of states at the Fermi level: 0.95 states/eV per atom. Its space group is P4/mmm (123). As for the volume: 21.93 A^3/atom. The value obtained for the mass density is 7.27 g cm⁻³.

Unit cell a=5.2712 b=5.2712 c=3.9455 alpha=90.00 beta=90.00 gamma=90.00
Sites, in units of the cell vectors:
Ta (0.0000, 0.0000, 0.0000)
Se (0.0000, 0.5000, 0.0000)
Se (0.5000, 0.0000, 0.0000)
I (0.5000, 0.5000, 0.5000)
N (0.0000, 0.0000, 0.5000)


Stability verdict: arrangement two, ahead by 1563 meV per atom


Arrangement one

A relaxed structure of TcSe2IN, computed with GGA-PBE.

Results
As for the density of states at the Fermi level: 0.56 states/eV per atom. Its space group is P4/mmm (123). As for the volume: 23.71 A^3/atom. The value obtained for the mass density is 5.56 g cm⁻³.

Unit cell a=5.4873 b=5.4873 c=3.9370 alpha=90.00 beta=90.00 gamma=90.00
Sites, in units of the cell vectors:
Tc (0.0000, 0.0000, 0.0000)
Se (0.0000, 0.5000, 0.5000)
Se (0.5000, 0.0000, 0.5000)
I (0.5000, 0.5000, 0.5000)
N (0.5000, 0.5000, 0.0000)


Arrangement two

A relaxed structure of TcSe2IN, computed with GGA-PBE.

Results
As for the density of states at the Fermi level: 0.66 states/eV per atom. Its space group is P4/mmm (123). As for the volume: 20.07 A^3/atom. The value obtained for the mass density is 6.57 g cm⁻³.

Unit cell a=5.1536 b=5.1536 c=3.7784 alpha=90.00 beta=90.00 gamma=90.00
Sites, in units of the cell vectors:
Tc (0.0000, 0.0000, 0.0000)
Se (0.0000, 0.5000, 0.0000)
Se (0.5000, 0.0000, 0.0000)
I (0.5000, 0.5000, 0.5000)
N (0.0000, 0.0000, 0.5000)


Stability verdict: arrangement two, ahead by 1336 meV per atom